The following is a meta-GGA SCAN calculation of a crystal of Sr5Ca relaxed with PBEsol, from Alexandria.

Cell: 6.9024 4.2210 21.8134 Å, 90.00 90.00 90.00°
With the nearest neighbours (Å) after each atom.
Fractional positions:
Sr 0.0000 0.0000 0.0000  2 Ca 4.13, 10 Sr 4.20-4.35
Sr 0.0000 0.0000 0.3258  2 Ca 4.13, 10 Sr 4.21-4.35
Sr 0.0000 0.5000 0.5000  2 Ca 4.13, 10 Sr 4.20-4.35
Sr 0.0000 0.5000 0.8258  2 Ca 4.13, 10 Sr 4.21-4.35
Sr 0.5000 0.0000 0.1095  8 Sr 4.13-4.25, 4 Ca 4.21
Sr 0.5000 0.0000 0.4405  12 Sr 4.22-4.26
Sr 0.5000 0.0000 0.7724  10 Sr 4.13-4.23, 2 Ca 4.20
Sr 0.5000 0.5000 0.2724  10 Sr 4.13-4.23, 2 Ca 4.20
Sr 0.5000 0.5000 0.6095  8 Sr 4.13-4.25, 4 Ca 4.21
Sr 0.5000 0.5000 0.9405  12 Sr 4.22-4.26
Ca 0.0000 0.0000 0.6629  10 Sr 4.13-4.21, 2 Ca 4.22
Ca 0.0000 0.5000 0.1629  10 Sr 4.13-4.21, 2 Ca 4.22

Results
- formation energy from the elements (kJ per mole of atoms) = 0.71
- space-group type = No. 38

The following is a meta-GGA SCAN calculation of a crystal of Li7NbS6 relaxed with PBEsol, from Alexandria.

Cell: 10.0053 10.0053 10.0053 Å, 90.00 90.00 90.00°
With the nearest neighbours (Å) after each atom.
Fractional positions:
Li 0.0090 0.2773 0.1866  4 S 2.42-2.53, 1 Li 2.62
Li 0.0249 0.8356 0.6785  4 S 2.46-2.57, 1 Li 2.62
Li 0.1136 0.6136 0.8864  2 S 2.46-2.47
Li 0.1644 0.1785 0.4751  4 S 2.46-2.57, 1 Li 2.62
Li 0.1785 0.4751 0.1644  4 S 2.46-2.57, 1 Li 2.62
Li 0.1866 0.0090 0.2773  4 S 2.42-2.53, 1 Li 2.62
Li 0.2227 0.8134 0.5090  4 S 2.42-2.53, 1 Li 2.62
Li 0.2773 0.1866 0.0090  4 S 2.42-2.53, 1 Li 2.62
Li 0.3134 0.9910 0.7773  4 S 2.42-2.53, 1 Li 2.62
Li 0.3215 0.5249 0.6644  4 S 2.46-2.57, 1 Li 2.62
Li 0.3356 0.8215 0.9751  4 S 2.46-2.57, 1 Li 2.62
Li 0.3864 0.3864 0.3864  2 S 2.46-2.47
Li 0.4751 0.1644 0.1785  4 S 2.46-2.57, 1 Li 2.62
Li 0.4910 0.7227 0.6866  4 S 2.42-2.53, 1 Li 2.62
Li 0.5090 0.2227 0.8134  4 S 2.42-2.53, 1 Li 2.62
Li 0.5249 0.6644 0.3215  4 S 2.46-2.57, 1 Li 2.62
Li 0.6136 0.8864 0.1136  2 S 2.46-2.47
Li 0.6644 0.3215 0.5249  4 S 2.46-2.57, 1 Li 2.62
Li 0.6785 0.0249 0.8356  4 S 2.46-2.57, 1 Li 2.62
Li 0.6866 0.4910 0.7227  4 S 2.42-2.53, 1 Li 2.62
Li 0.7227 0.6866 0.4910  4 S 2.42-2.53, 1 Li 2.62
Li 0.7773 0.3134 0.9910  4 S 2.42-2.53, 1 Li 2.62
Li 0.8134 0.5090 0.2227  4 S 2.42-2.53, 1 Li 2.62
Li 0.8215 0.9751 0.3356  4 S 2.46-2.57, 1 Li 2.62
Li 0.8356 0.6785 0.0249  4 S 2.46-2.57, 1 Li 2.62
Li 0.8864 0.1136 0.6136  2 S 2.46-2.47
Li 0.9751 0.3356 0.8215  4 S 2.46-2.57, 1 Li 2.62
Li 0.9910 0.7773 0.3134  4 S 2.42-2.53, 1 Li 2.62
Nb 0.0117 0.4883 0.5117  4 S 2.25-2.28
Nb 0.4883 0.5117 0.0117  4 S 2.25-2.28
Nb 0.5117 0.0117 0.4883  4 S 2.25-2.28
Nb 0.9883 0.9883 0.9883  4 S 2.25-2.28
S 0.0287 0.9713 0.4713  7 Li 2.47-2.53
S 0.1105 0.1183 0.8472  1 Nb 2.28, 2 Li 2.42-2.50
S 0.1183 0.8472 0.1105  1 Nb 2.28, 2 Li 2.42-2.50
S 0.1418 0.3582 0.6418  1 Nb 2.25, 3 Li 2.46
S 0.1528 0.6105 0.3817  1 Nb 2.28, 2 Li 2.42-2.50
S 0.2444 0.2444 0.2444  7 Li 2.45-2.53
S 0.2556 0.7556 0.7444  7 Li 2.45-2.53
S 0.3472 0.3895 0.8817  1 Nb 2.28, 2 Li 2.42-2.50
S 0.3582 0.6418 0.1418  1 Nb 2.25, 3 Li 2.46
S 0.3817 0.1528 0.6105  1 Nb 2.28, 2 Li 2.42-2.50
S 0.3895 0.8817 0.3472  1 Nb 2.28, 2 Li 2.42-2.50
S 0.4713 0.0287 0.9713  7 Li 2.47-2.53
S 0.5287 0.5287 0.5287  7 Li 2.47-2.53
S 0.6105 0.3817 0.1528  1 Nb 2.28, 2 Li 2.42-2.50
S 0.6183 0.6528 0.8895  1 Nb 2.28, 2 Li 2.42-2.50
S 0.6418 0.1418 0.3582  1 Nb 2.25, 3 Li 2.46
S 0.6528 0.8895 0.6183  1 Nb 2.28, 2 Li 2.42-2.50
S 0.7444 0.2556 0.7556  7 Li 2.45-2.53
S 0.7556 0.7444 0.2556  7 Li 2.45-2.53
S 0.8472 0.1105 0.1183  1 Nb 2.28, 2 Li 2.42-2.50
S 0.8582 0.8582 0.8582  1 Nb 2.25, 3 Li 2.46
S 0.8817 0.3472 0.3895  1 Nb 2.28, 2 Li 2.42-2.50
S 0.8895 0.6183 0.6528  1 Nb 2.28, 2 Li 2.42-2.50
S 0.9713 0.4713 0.0287  7 Li 2.47-2.53

Results
- space-group type = No. 198
- energy relative to the elements, uncorrected (eV/atom) = -1.33

The following is a meta-GGA SCAN calculation of a crystal of ScTl2Se relaxed with PBEsol, from Alexandria.

Cell: 3.4834 3.4834 8.0032 Å, 90.00 90.00 90.00°
With the nearest neighbours (Å) after each atom.
Fractional positions:
Sc 0.0000 0.0000 0.0000  4 Se 2.68
Tl 0.0000 0.0000 0.4417  8 Tl 3.36-3.48, 4 Se 3.49, 1 Sc 3.53
Tl 0.5000 0.5000 0.7267  1 Se 3.25, 4 Sc 3.29, 8 Tl 3.36-3.48
Se 0.5000 0.5000 0.1327  4 Sc 2.68

Results
- space-group type = No. 99
- energy relative to the elements, uncorrected (eV/atom) = -0.69

The following is a meta-GGA SCAN calculation of a crystal of CaLaZn relaxed with PBEsol, from Alexandria.

Cell: 3.6047 3.6047 13.3504 Å, 90.00 90.00 90.00°
With the nearest neighbours (Å) after each atom.
Fractional positions:
Ca 0.0000 0.0000 0.0000  4 Zn 3.12
Ca 0.5000 0.5000 0.5000  4 Zn 3.12
La 0.0000 0.0000 0.7285  4 Zn 3.13
La 0.5000 0.5000 0.2285  4 Zn 3.13
Zn 0.0000 0.0000 0.3647  4 Ca 3.12, 4 La 3.13
Zn 0.5000 0.5000 0.8647  4 Ca 3.12, 4 La 3.13

Results
- formation energy from the elements (kJ per mole of atoms) = -21.00
- space-group type = No. 107

The following is a meta-GGA SCAN calculation of a crystal of Nb2AgBrCl relaxed with PBEsol, from Alexandria.

Cell: 4.7727 4.7727 5.0001 Å, 90.00 90.00 90.00°
With the nearest neighbours (Å) after each atom.
Fractional positions:
Nb 0.0000 0.5000 0.0000  2 Br 2.39
Nb 0.5000 0.0000 0.0000  2 Br 2.39
Ag 0.0000 0.0000 0.5000  2 Br 2.50
Br 0.0000 0.0000 0.0000  4 Nb 2.39, 2 Ag 2.50
Cl 0.5000 0.5000 0.5000  4 Ag 3.37, 8 Nb 3.46

Results
- space-group type = No. 123
- energy relative to the elements, uncorrected (eV/atom) = 1.38

The following is a meta-GGA SCAN calculation of a crystal of MgMnSbTe2 relaxed with PBEsol, from Alexandria.

Cell: 5.2310 5.2310 4.9305 Å, 90.00 90.00 90.00°
With the nearest neighbours (Å) after each atom.
Fractional positions:
Mg 0.0000 0.0000 0.0000  8 Te 3.59, 4 Sb 3.70
Mn 0.5000 0.5000 0.5000  2 Sb 2.47, 4 Te 2.62
Sb 0.5000 0.5000 0.0000  2 Mn 2.47
Te 0.0000 0.5000 0.5000  2 Mn 2.62
Te 0.5000 0.0000 0.5000  2 Mn 2.62

Results
- space-group type = No. 123
- energy relative to the elements, uncorrected (eV/atom) = 0.15

The following is a meta-GGA SCAN calculation of a crystal of YBH2Ru relaxed with PBEsol, from Alexandria.

Cell: 3.4642 3.4642 5.1250 Å, 90.00 90.00 90.00°
With the nearest neighbours (Å) after each atom.
Fractional positions:
Y 0.0000 0.0000 0.0000  4 H 1.73
B 0.0000 0.0000 0.5000  4 Ru 2.45, 2 Y 2.56
H 0.0000 0.5000 0.0000  2 Y 1.73
H 0.5000 0.0000 0.0000  2 Y 1.73
Ru 0.5000 0.5000 0.5000  4 B 2.45

Results
- E (eV/atom) = -14.603
- space-group type = No. 123

The following is a meta-GGA SCAN calculation of a crystal of LiTlAs2 relaxed with PBEsol, from Alexandria.

Cell: 6.9114 6.9114 6.9114 Å, 90.00 90.00 90.00°
With the nearest neighbours (Å) after each atom.
Fractional positions:
Li 0.0000 0.0000 0.0000  8 As 2.99
Li 0.0000 0.5000 0.5000  8 As 2.99
Li 0.5000 0.0000 0.5000  8 As 2.99
Li 0.5000 0.5000 0.0000  8 As 2.99
Tl 0.0000 0.0000 0.5000  8 As 2.99
Tl 0.0000 0.5000 0.0000  8 As 2.99
Tl 0.5000 0.0000 0.0000  8 As 2.99
Tl 0.5000 0.5000 0.5000  8 As 2.99
As 0.2500 0.2500 0.2500  4 Tl 2.99, 4 Li 2.99
As 0.2500 0.2500 0.7500  4 Tl 2.99, 4 Li 2.99
As 0.2500 0.7500 0.2500  4 Tl 2.99, 4 Li 2.99
As 0.2500 0.7500 0.7500  4 Tl 2.99, 4 Li 2.99
As 0.7500 0.2500 0.2500  4 Tl 2.99, 4 Li 2.99
As 0.7500 0.2500 0.7500  4 Tl 2.99, 4 Li 2.99
As 0.7500 0.7500 0.2500  4 Tl 2.99, 4 Li 2.99
As 0.7500 0.7500 0.7500  4 Li 2.99, 4 Tl 2.99

Results
- formation energy from the elements (kJ per mole of atoms) = 19.31
- space-group type = No. 225

The following is a meta-GGA SCAN calculation of a crystal of Mg2Ti relaxed with PBEsol, from Alexandria.

Cell: 9.0043 5.4341 5.4309 Å, 90.00 116.34 90.00°
With the nearest neighbours (Å) after each atom.
Fractional positions:
Mg 0.1660 0.0996 0.2473  7 Mg 2.92-3.19, 5 Ti 2.99-3.19
Mg 0.1660 0.9004 0.7473  7 Mg 2.92-3.19, 5 Ti 2.99-3.19
Mg 0.3340 0.4004 0.7527  7 Mg 2.92-3.19, 5 Ti 2.99-3.19
Mg 0.3340 0.5996 0.2527  7 Mg 2.92-3.19, 5 Ti 2.99-3.19
Mg 0.6660 0.4004 0.7473  7 Mg 2.92-3.19, 5 Ti 2.99-3.19
Mg 0.6660 0.5996 0.2473  7 Mg 2.92-3.19, 5 Ti 2.99-3.19
Mg 0.8340 0.0996 0.2527  7 Mg 2.92-3.19, 5 Ti 2.99-3.19
Mg 0.8340 0.9004 0.7527  7 Mg 2.92-3.19, 5 Ti 2.99-3.19
Ti 0.0000 0.4180 0.7500  2 Ti 2.86, 10 Mg 2.99-3.19
Ti 0.0000 0.5820 0.2500  2 Ti 2.86, 10 Mg 2.99-3.19
Ti 0.5000 0.0820 0.2500  2 Ti 2.86, 10 Mg 2.99-3.19
Ti 0.5000 0.9180 0.7500  2 Ti 2.86, 10 Mg 2.99-3.19

Results
- formation energy from the elements (kJ per mole of atoms) = 18.90
- space-group type = No. 15

The following is a meta-GGA SCAN calculation of a crystal of MnBeBiRu2 relaxed with PBEsol, from Alexandria.

Cell: 4.4084 4.4084 4.1308 Å, 90.00 90.00 90.00°
With the nearest neighbours (Å) after each atom.
Fractional positions:
Mn 0.0000 0.0000 0.0000  2 Be 2.07, 4 Ru 2.20
Be 0.0000 0.0000 0.5000  2 Mn 2.07
Bi 0.5000 0.5000 0.5000  8 Ru 3.02, 4 Be 3.12
Ru 0.0000 0.5000 0.0000  2 Mn 2.20
Ru 0.5000 0.0000 0.0000  2 Mn 2.20

Results
- formation energy from the elements (kJ per mole of atoms) = 87.68
- space-group type = No. 123